DFT (PBE-GGA) results for an optimized crystal structure of BaSr2Cr.

Cell: 7.6335 7.6335 7.6335 Å, 147.46 129.67 61.22°
Fractional coordinates of all 4 atoms:
Ba1 0.0000 0.0000 0.0000
Sr1 0.2978 0.7978 0.5000
Sr2 0.7022 0.2022 0.5000
Cr1 0.5000 0.5000 0.0000

Properties
- Symmetry: Immm, No. 71
- E above lowest polymorph: 23 meV per atom
- Fermi-level density of states: 4.8 states/eV per cell
- Energy of formation: 1.72 eV/f.u.
- Calculated volume: 182.4 Å³/f.u.

DFT (PBE-GGA) results for an optimized crystal structure of BaInI6.

Cell: 7.9621 8.0235 8.0632 Å, 119.65 94.39 114.70°
Fractional coordinates of all 8 atoms:
Ba1 0.0000 0.0000 0.0000
In1 0.5000 0.0000 0.5000
I1 0.2204 0.5404 0.0772
I2 0.2721 0.8323 0.7096
I3 0.2794 0.2022 0.4859
I4 0.7206 0.7978 0.5141
I5 0.7279 0.1677 0.2904
I6 0.7796 0.4596 0.9228

Properties
- Symmetry: P-1, No. 2
- Fermi-level density of states: 1.9 states/eV per cell
- Calculated volume: 379.6 Å³/f.u.
- E_form (uncorrected): -0.762 eV/atom

DFT (PBE-GGA) results for an optimized crystal structure of Rb2VAuBr6.

Cell: 7.6579 7.6579 7.6579 Å, 120.08 120.08 89.86°
Fractional coordinates of all 10 atoms:
Rb1 0.2500 0.7500 0.5000
Rb2 0.7500 0.2500 0.5000
V1 0.0000 0.0000 0.0000
Au1 0.5000 0.5000 0.0000
Br1 0.2374 0.2374 0.0000
Br2 0.2382 0.2382 0.4764
Br3 0.2382 0.7618 0.0000
Br4 0.7618 0.2382 0.0000
Br5 0.7618 0.7618 0.5236
Br6 0.7626 0.7626 0.0000

Properties
- Symmetry: I4/mmm, No. 139
- Fermi-level density of states: 14.8 states/eV per cell
- Calculated volume: 317.2 Å³/f.u.
- E_form (uncorrected): -0.981 eV/atom

DFT (PBE-GGA) results for an optimized crystal structure of BeAlTe2.

Cell: 7.5989 7.5989 4.2140 Å, 92.82 92.82 29.97°
Fractional coordinates of all 4 atoms:
Be1 0.0000 0.0000 0.0000
Al1 0.3823 0.3823 0.2977
Te1 0.5689 0.5689 0.2245
Te2 0.8452 0.8452 0.7798

Properties
- Symmetry: Cm, No. 8
- E above lowest polymorph: 12 meV per atom
- Fermi-level density of states: 1.1 states/eV per cell
- Calculated volume: 121.4 Å³/f.u.
- E_form (uncorrected): -0.078 eV/atom

DFT (PBE-GGA) results for an optimized crystal structure of IrPt3Au.

Cell: 4.8303 4.8303 4.8303 Å, 90.00 90.00 90.00°
Fractional coordinates of all 5 atoms:
Ir1 0.0000 0.0000 0.0000
Pt1 0.0000 0.0000 0.5000
Pt2 0.0000 0.5000 0.0000
Pt3 0.5000 0.0000 0.0000
Au1 0.5000 0.5000 0.5000

Properties
- Symmetry: Pm-3m, No. 221
- E above lowest polymorph: 0 meV per atom
- Fermi-level density of states: 10.5 states/eV per cell
- Energy of formation: 6.93 eV/f.u.
- Calculated volume: 112.7 Å³/f.u.

DFT (PBE-GGA) results for an optimized crystal structure of Pm5Mg4Pt.

Cell: 3.7882 3.7882 19.1189 Å, 90.00 90.00 90.00°
Fractional coordinates of all 10 atoms:
Pm1 0.0000 0.0000 0.0000
Pm2 0.0000 0.0000 0.2069
Pm3 0.0000 0.0000 0.4145
Pm4 0.0000 0.0000 0.5855
Pm5 0.0000 0.0000 0.7931
Mg1 0.5000 0.5000 0.1037
Mg2 0.5000 0.5000 0.3079
Mg3 0.5000 0.5000 0.6921
Mg4 0.5000 0.5000 0.8963
Pt1 0.5000 0.5000 0.5000

Properties
- Symmetry: P4/mmm, No. 123
- Fermi-level density of states: 8.8 states/eV per cell
- Energy of formation: -3.05 eV/f.u.
- Calculated volume: 274.4 Å³/f.u.

DFT (PBE-GGA) results for an optimized crystal structure of AcHo4Tm2.

Cell: 7.0971 8.6210 8.9022 Å, 114.95 101.67 101.65°
Fractional coordinates of all 14 atoms:
Ac1 0.0000 0.0000 0.0000
Ac2 0.0833 0.7486 0.5628
Ho1 0.1986 0.3189 0.4594
Ho2 0.3031 0.8785 0.2851
Ho3 0.3925 0.4337 0.1156
Ho4 0.4967 0.9901 0.9884
Ho5 0.6074 0.5820 0.8470
Ho6 0.6925 0.3153 0.4475
Ho7 0.8856 0.4305 0.1030
Ho8 0.9693 0.1649 0.7063
Tm1 0.1149 0.5838 0.8561
Tm2 0.4771 0.1667 0.7154
Tm3 0.5878 0.7590 0.5728
Tm4 0.7825 0.8700 0.2782

Properties
- Symmetry: P1, No. 1
- Fermi-level density of states: 21.0 states/eV per cell
- Energy of formation: 0.45 eV/f.u.
- Calculated volume: 228.8 Å³/f.u.

DFT (PBE-GGA) results for an optimized crystal structure of MnGa2W.

Cell: 8.7805 8.7805 8.7805 Å, 18.61 18.61 18.61°
Fractional coordinates of all 4 atoms:
Mn1 0.0000 0.0000 0.0000
Ga1 0.4124 0.4124 0.4124
Ga2 0.5860 0.5860 0.5860
W1 0.1659 0.1659 0.1659

Properties
- Symmetry: R3m, No. 160
- E above lowest polymorph: 0 meV per atom
- Fermi-level density of states: 2.8 states/eV per cell
- Energy of formation: 0.30 eV/f.u.
- Calculated volume: 60.2 Å³/f.u.